(1)
ErGe2Ir3 | PBE | optimized geometry

a b c (Å): 3.9673 3.9673 15.5627
angles (deg): 90.00 90.00 90.00
Positions (direct):
Er (0.0000, 0.0000, 0.0000)
Er (0.5000, 0.5000, 0.5000)
Ge (0.0000, 0.0000, 0.3449)
Ge (0.0000, 0.0000, 0.6551)
Ge (0.5000, 0.5000, 0.1551)
Ge (0.5000, 0.5000, 0.8449)
Ir (0.0000, 0.0000, 0.5000)
Ir (0.0000, 0.5000, 0.2500)
Ir (0.0000, 0.5000, 0.7500)
Ir (0.5000, 0.0000, 0.2500)
Ir (0.5000, 0.0000, 0.7500)
Ir (0.5000, 0.5000, 0.0000)

Values from the calculation:
- VASP energy (eV/cell) = -85.611
- calculated formation energy (eV per atom) = -0.404



(2)
TlAg2OsO4 | PBE | optimized geometry

a b c (Å): 5.2031 6.9492 7.7658
angles (deg): 90.00 90.00 90.00
Positions (direct):
Tl (0.0000, 0.0000, 0.0000)
Tl (0.5000, 0.5000, 0.5000)
Ag (0.0000, 0.5000, 0.3118)
Ag (0.0000, 0.5000, 0.6882)
Ag (0.5000, 0.0000, 0.1882)
Ag (0.5000, 0.0000, 0.8118)
Os (0.0000, 0.0000, 0.5000)
Os (0.5000, 0.5000, 0.0000)
O (0.1355, 0.1720, 0.6523)
O (0.1355, 0.8280, 0.3477)
O (0.3645, 0.3280, 0.1523)
O (0.3645, 0.6720, 0.8477)
O (0.6355, 0.3280, 0.8477)
O (0.6355, 0.6720, 0.1523)
O (0.8645, 0.1720, 0.3477)
O (0.8645, 0.8280, 0.6523)

Values from the calculation:
- VASP energy (eV/cell) = -85.465
- uncorrected formation energy (meV per atom) = -450



(3)
TaFe3Ru | PBE | optimized geometry

a b c (Å): 4.3475 4.3475 4.3475
angles (deg): 90.00 90.00 90.00
Positions (direct):
Ta (0.0000, 0.0000, 0.0000)
Fe (0.0000, 0.0000, 0.5000)
Fe (0.0000, 0.5000, 0.0000)
Fe (0.5000, 0.0000, 0.0000)
Ru (0.5000, 0.5000, 0.5000)

Values from the calculation:
- offset from the most stable computed form (eV/atom) = 0.517
- VASP energy (eV/cell) = -36.677
- calculated formation energy (eV per atom) = 1.968



(4)
La5Zn2N2 | PBE | optimized geometry

a b c (Å): 10.6707 10.6707 10.6707
angles (deg): 57.48 139.58 140.93
Positions (direct):
La (0.2206, 0.4083, 0.0913)
La (0.2206, 0.6293, 0.3123)
La (0.2455, 0.0119, 0.2575)
La (0.2455, 0.4881, 0.7336)
La (0.3170, 0.1293, 0.9087)
La (0.3170, 0.9083, 0.6877)
La (0.7288, 0.6074, 0.6214)
La (0.7545, 0.5119, 0.2664)
La (0.7545, 0.9881, 0.7425)
La (0.9860, 0.1074, 0.3786)
Zn (0.7257, 0.1424, 0.3787)
Zn (0.7257, 0.8469, 0.0832)
Zn (0.7637, 0.3469, 0.6213)
Zn (0.7637, 0.6424, 0.9168)
N (0.1139, 0.9490, 0.6649)
N (0.2526, 0.2526, 0.0000)
N (0.2526, 0.7526, 0.5000)
N (0.2840, 0.4490, 0.3351)

Values from the calculation:
- VASP energy (eV/cell) = -100.169
- uncorrected formation energy (meV per atom) = -694



(5)
TaCdHg2 | PBE | optimized geometry

a b c (Å): 9.7521 3.0256 5.7559
angles (deg): 90.00 99.84 90.00
Positions (direct):
Ta (0.0000, 0.0000, 0.0000)
Ta (0.5000, 0.5000, 0.0000)
Cd (0.0000, 0.5000, 0.5000)
Cd (0.5000, 0.0000, 0.5000)
Hg (0.2480, 0.5000, 0.2371)
Hg (0.2520, 0.0000, 0.7629)
Hg (0.7480, 0.0000, 0.2371)
Hg (0.7520, 0.5000, 0.7629)

Values from the calculation:
- VASP energy (eV/cell) = -23.441
- calculated formation energy (eV per atom) = 0.413



(6)
AcLa5Dy2Er | PBE | optimized geometry

a b c (Å): 9.9683 9.9683 9.9683
angles (deg): 122.95 122.95 84.96
Positions (direct):
Ac (0.2500, 0.2500, 0.0000)
Ac (0.7500, 0.7500, 0.0000)
La (0.0000, 0.0000, 0.0000)
La (0.0701, 0.5701, 0.8979)
La (0.1722, 0.0701, 0.5000)
La (0.3278, 0.8278, 0.8979)
La (0.4299, 0.3278, 0.5000)
La (0.5000, 0.5000, 0.0000)
La (0.5701, 0.6722, 0.5000)
La (0.6722, 0.1722, 0.1021)
La (0.8278, 0.9299, 0.5000)
La (0.9299, 0.4299, 0.1021)
Dy (0.1095, 0.3905, 0.5000)
Dy (0.3905, 0.8905, 0.2811)
Dy (0.6095, 0.1095, 0.7189)
Dy (0.8905, 0.6095, 0.5000)
Er (0.2500, 0.7500, 0.5000)
Er (0.7500, 0.2500, 0.5000)

Values from the calculation:
- VASP energy (eV/cell) = -80.188
- calculated formation energy (eV per atom) = 0.269



(7)
Dy4ZnRh3 | PBE | optimized geometry

a b c (Å): 3.4703 3.4703 13.7813
angles (deg): 90.00 90.00 90.00
Positions (direct):
Dy (0.0000, 0.0000, 0.1226)
Dy (0.0000, 0.0000, 0.3651)
Dy (0.0000, 0.0000, 0.6349)
Dy (0.0000, 0.0000, 0.8774)
Zn (0.5000, 0.5000, 0.5000)
Rh (0.5000, 0.5000, 0.0000)
Rh (0.5000, 0.5000, 0.2473)
Rh (0.5000, 0.5000, 0.7527)

Values from the calculation:
- VASP energy (eV/cell) = -47.714
- calculated formation energy (eV per atom) = -0.747



(8)
RbSrVCr2 | PBE | optimized geometry

a b c (Å): 6.0680 6.0680 5.8254
angles (deg): 90.00 90.00 90.00
Positions (direct):
Rb (0.0000, 0.0000, 0.0000)
Sr (0.5000, 0.5000, 0.5000)
V (0.5000, 0.5000, 0.0000)
Cr (0.0000, 0.5000, 0.5000)
Cr (0.5000, 0.0000, 0.5000)

Values from the calculation:
- VASP energy (eV/cell) = -21.737
- calculated formation energy (eV per atom) = 1.856



(9)
Cu3SiHg | PBE | optimized geometry

a b c (Å): 4.4662 4.4662 4.4662
angles (deg): 90.00 90.00 90.00
Positions (direct):
Cu (0.0000, 0.0000, 0.5000)
Cu (0.0000, 0.5000, 0.0000)
Cu (0.5000, 0.0000, 0.0000)
Si (0.0000, 0.0000, 0.0000)
Hg (0.5000, 0.5000, 0.5000)

Values from the calculation:
- offset from the most stable computed form (eV/atom) = 0.000
- VASP energy (eV/cell) = -16.065
- uncorrected formation energy (meV per atom) = 390



(10)
Cs2KBaCd | PBE | optimized geometry

a b c (Å): 8.4733 8.4733 6.5112
angles (deg): 90.00 90.00 90.00
Positions (direct):
Cs (0.0000, 0.5000, 0.0000)
Cs (0.5000, 0.0000, 0.0000)
K (0.0000, 0.0000, 0.5000)
Ba (0.5000, 0.5000, 0.0000)
Cd (0.5000, 0.5000, 0.5000)

Values from the calculation:
- offset from the most stable computed form (eV/atom) = 0.252
- VASP energy (eV/cell) = -4.053
- calculated formation energy (eV per atom) = 0.318



(11)
LiPu2I5 | PBE | optimized geometry

a b c (Å): 7.6978 7.6978 15.3964
angles (deg): 90.00 90.00 131.62
Positions (direct):
Li (0.2014, 0.7986, 0.7500)
Li (0.7986, 0.2014, 0.2500)
Pu (0.1596, 0.8404, 0.0567)
Pu (0.1596, 0.8404, 0.4433)
Pu (0.8404, 0.1596, 0.5567)
Pu (0.8404, 0.1596, 0.9433)
I (0.0530, 0.9470, 0.6236)
I (0.0530, 0.9470, 0.8764)
I (0.2543, 0.7457, 0.2500)
I (0.3388, 0.6612, 0.5730)
I (0.3388, 0.6612, 0.9270)
I (0.6612, 0.3388, 0.0730)
I (0.6612, 0.3388, 0.4270)
I (0.7457, 0.2543, 0.7500)
I (0.9470, 0.0530, 0.1236)
I (0.9470, 0.0530, 0.3764)

Values from the calculation:
- offset from the most stable computed form (eV/atom) = 0.000
- VASP energy (eV/cell) = -92.735
- uncorrected formation energy (meV per atom) = -1005



(12)
HoScPt | PBE | optimized geometry

a b c (Å): 4.5068 4.5068 3.9481
angles (deg): 90.00 90.00 120.00
Positions (direct):
Ho (0.0000, 0.0000, 0.0000)
Sc (0.6667, 0.3333, 0.4858)
Pt (0.3333, 0.6667, 0.6405)

Values from the calculation:
- offset from the most stable computed form (eV/atom) = 0.270
- VASP energy (eV/cell) = -19.076
- calculated formation energy (eV per atom) = -0.709